{"formula": "Dy3HoPt4", "functional": "PBE-GGA", "state": "optimized geometry", "lattice": [[5.5677, 0.0000, 0.0000], [0.0000, 4.5000, 0.0000], [-0.0105, 0.0000, 7.0092]], "species": ["Dy", "Dy", "Dy", "Ho", "Pt", "Pt", "Pt", "Pt"], "frac_coords": [[0.0000, 0.0000, 0.0000], [0.2197, 0.0000, 0.4994], [0.7194, 0.5000, 0.6360], [0.5000, 0.5000, 0.1359], [0.0154, 0.5000, 0.2727], [0.2048, 0.5000, 0.7737], [0.5150, 0.0000, 0.8637], [0.7038, 0.0000, 0.3616]], "total_energy_ev_per_cell": -52.94, "mass_density_g_cm3": 13.548}